[1]
DyZn12Pd6 after structural relaxation, computed with GGA-PBE.

The space group is R-3m (No. 166, hexagonal axes) and the conventional cell measures 11.3924, 11.3924 and 8.5330 Å, with angles of 90.00, 90.00 and 120.00 degrees. The inequivalent atoms are Dy at (0.0000, 0.0000, 0.0000), Zn at (0.0000, 0.3894, 0.5000), Zn at (0.0826, 0.1652, 0.3011) and Pd at (0.0503, 0.5251, 0.2407).

=====

[2]
ScFe2Os after structural relaxation, computed with GGA-PBE.

The space group is Pm (No. 6) and the conventional cell measures 2.721, 4.257 and 4.993 Å, with angles of 90.00, 100.68 and 90.00 degrees. The inequivalent atoms are Sc at (0.000, 0.000, 0.000), Fe at (0.534, 0.000, 0.492), Fe at (0.688, 0.500, 0.249) and Os at (0.275, 0.500, 0.709).

Its polymorph energy (0 for the lowest one) is 60 meV per atom.

=====

Formation energy from the elements per entry: -5.92, 0.21 eV/f.u.
Volume per entry: 959, 57 Å³ per cell
DOS(E_F) per entry: 9.19, 3.58 states/eV/f.u.